First-principles (PBE) data for a relaxed structure of Cu2Ag2Sn, as listed in Alexandria via LeMat-Bulk.

a = 7.5285 Å, b = 7.5285 Å, c = 3.0590 Å
α = 90.00°, β = 90.00°, γ = 90.00°
Fractional positions:
Ag (0.6337, 0.1337, 0.0000)
Ag (0.1337, 0.3663, 0.0000)
Ag (0.3663, 0.8663, 0.0000)
Ag (0.8663, 0.6337, 0.0000)
Sn (0.5000, 0.5000, 0.0000)
Sn (0.0000, 0.0000, 0.0000)
Cu (0.3383, 0.1617, 0.5000)
Cu (0.8383, 0.3383, 0.5000)
Cu (0.1617, 0.6617, 0.5000)
Cu (0.6617, 0.8383, 0.5000)

Summary:
Uncorrected energy in eV per formula unit: -17.17
Symmetry: P4/mbm, No. 127
Theoretical density in g/cm3: 8.84
Energy of formation from the pure elements in eV per atom: 0.145
Spin magnetization in μB/cell: 0.0
Distance to the lowest polymorph of the same formula in meV per atom: 50